Here is crystalline CaAl2Tl2 at its relaxed geometry from the Alexandria database. Energies are from GGA-PBE.

Results
spin magnetization = 0.0 μB per cell
calculated volume = 25.6 A^3/atom
mass density = 6.5 g/cm3
E = -2.754 eV/atom
energy relative to the elements = 8.6 kJ/mol of atoms

abc: 8.3718 8.3718 3.6541
angles: 90.00 90.00 90.00
Element x y z (fractional)
Al 0.3462 0.1538 0.5000
Ca 0.0000 0.0000 0.0000
Ca 0.5000 0.5000 0.0000
Tl 0.3574 0.8574 0.0000
Tl 0.8574 0.6426 0.0000
Al 0.8462 0.3462 0.5000
Al 0.1538 0.6538 0.5000
Al 0.6538 0.8462 0.5000
Tl 0.1426 0.3574 0.0000
Tl 0.6426 0.1426 0.0000